(1)
Crystalline MoHN2 at its relaxed geometry, computed with PBE.

Summary:
Magnetic moment, μB/atom: 0.00
Space-group type: Fm-3m
Energy, eV per atom: -6.6798

Cell lengths 3.543, 3.543, 3.543 Å; angles 60.00, 60.00, 60.00 degrees
Sites, in units of the cell vectors:
H (0.000, 0.000, 0.000)
Mo (0.500, 0.500, 0.500)
N (0.250, 0.250, 0.250)
N (0.750, 0.750, 0.750)

---

(2)
Crystalline LaTb4Nd15 at its relaxed geometry, computed with PBE.

Summary:
Calculated formation energy, eV per atom: 0.015
Magnetic moment, μB/atom: 0.00
Space-group type: P4/mmm

Cell lengths 5.185, 5.185, 25.865 Å; angles 90.00, 90.00, 90.00 degrees
Sites, in units of the cell vectors:
La (0.000, 0.000, 0.000)
Tb (0.000, 0.000, 0.202)
Tb (0.000, 0.000, 0.401)
Tb (0.000, 0.000, 0.599)
Tb (0.000, 0.000, 0.798)
Nd (0.500, 0.500, 0.000)
Nd (0.500, 0.500, 0.202)
Nd (0.500, 0.500, 0.401)
Nd (0.500, 0.500, 0.599)
Nd (0.500, 0.500, 0.798)
Nd (0.500, 0.000, 0.102)
Nd (0.500, 0.000, 0.301)
Nd (0.500, 0.000, 0.500)
Nd (0.500, 0.000, 0.699)
Nd (0.500, 0.000, 0.898)
Nd (0.000, 0.500, 0.102)
Nd (0.000, 0.500, 0.301)
Nd (0.000, 0.500, 0.500)
Nd (0.000, 0.500, 0.699)
Nd (0.000, 0.500, 0.898)

---

(3)
Crystalline Hf2ScBi2 at its relaxed geometry, computed with PBE.

Summary:
Calculated formation energy, eV per atom: 0.075
Magnetic moment, μB/atom: 0.01
Space-group type: P4/mbm

Cell lengths 8.123, 8.123, 3.852 Å; angles 90.00, 90.00, 90.00 degrees
Sites, in units of the cell vectors:
Sc (0.000, 0.000, 0.000)
Sc (0.500, 0.500, 0.000)
Hf (0.370, 0.870, 0.000)
Hf (0.870, 0.630, 0.000)
Hf (0.630, 0.130, 0.000)
Hf (0.130, 0.370, 0.000)
Bi (0.168, 0.668, 0.500)
Bi (0.668, 0.832, 0.500)
Bi (0.832, 0.332, 0.500)
Bi (0.332, 0.168, 0.500)

---

(4)
Crystalline Ce2ZrTaN4 at its relaxed geometry, computed with PBE.

Summary:
ΔE_f (raw), eV/atom: -0.84
Magnetic moment, μB/atom: 0.35
Space-group type: I-42m

Cell lengths 5.993, 5.361, 5.361 Å; angles 71.80, 56.02, 56.02 degrees
Sites, in units of the cell vectors:
Ce (0.000, 0.500, 0.500)
Ce (0.500, 0.500, 0.500)
Zr (0.000, 0.000, 0.000)
Ta (0.500, 0.000, 0.000)
N (0.108, 0.338, 0.000)
N (0.892, 0.000, 0.662)
N (0.554, 0.000, 0.338)
N (0.446, 0.662, 0.000)

---

(5)
Crystalline AgPRhO2 at its relaxed geometry, computed with PBE.

Summary:
ΔE_f (raw), eV/atom: 0.01
Magnetic moment, μB/atom: 0.18
Space-group type: P4/mmm

Cell lengths 3.771, 5.299, 3.771 Å; angles 90.00, 90.00, 90.00 degrees
Sites, in units of the cell vectors:
P (0.000, 0.500, 0.000)
Rh (0.000, 0.000, 0.000)
O (0.000, 0.000, 0.500)
O (0.500, 0.000, 0.000)
Ag (0.500, 0.500, 0.500)

---

(6)
Crystalline Te2AsP at its relaxed geometry, computed with PBE.

Summary:
ΔE_f (raw), eV/atom: 0.44
Magnetic moment, μB/atom: 0.00
Space-group type: R-3m

Cell lengths 9.256, 9.256, 9.256 Å; angles 23.45, 23.45, 23.45 degrees
Sites, in units of the cell vectors:
P (0.500, 0.500, 0.500)
As (0.000, 0.000, 0.000)
Te (0.897, 0.897, 0.897)
Te (0.103, 0.103, 0.103)

---

(7)
Crystalline CsBS3 at its relaxed geometry, computed with PBE.

Summary:
ΔE_f (raw), eV/atom: 0.49
Magnetic moment, μB/atom: 0.00
Space-group type: Pm-3m

Cell lengths 4.606, 4.606, 4.606 Å; angles 90.00, 90.00, 90.00 degrees
Sites, in units of the cell vectors:
Cs (0.500, 0.500, 0.500)
S (0.000, 0.500, 0.000)
S (0.000, 0.000, 0.500)
S (0.500, 0.000, 0.000)
B (0.000, 0.000, 0.000)

---

(8)
Crystalline K2ZnIr at its relaxed geometry, computed with PBE.

Summary:
Calculated formation energy, eV per atom: 0.410
Magnetic moment, μB/atom: 0.00
Space-group type: Cm

Cell lengths 6.425, 6.425, 6.086 Å; angles 73.29, 73.29, 26.09 degrees
Sites, in units of the cell vectors:
Ir (0.203, 0.203, 0.233)
K (0.966, 0.966, 0.073)
K (0.775, 0.775, 0.694)
Zn (0.555, 0.555, 0.500)

---

(9)
Crystalline Tb3CoI3 at its relaxed geometry, computed with PBE.

Summary:
ΔE_f (raw), eV/atom: -0.93
Magnetic moment, μB/atom: 0.00
Space-group type: P2_1/m

Cell lengths 4.123, 8.928, 12.267 Å; angles 93.53, 90.00, 90.00 degrees
Sites, in units of the cell vectors:
Tb (0.250, 0.260, 0.602)
Tb (0.750, 0.740, 0.398)
Tb (0.250, 0.873, 0.623)
Tb (0.750, 0.127, 0.377)
Tb (0.250, 0.902, 0.185)
Tb (0.750, 0.098, 0.815)
Co (0.250, 0.942, 0.406)
Co (0.750, 0.058, 0.594)
I (0.250, 0.418, 0.367)
I (0.750, 0.582, 0.633)
I (0.250, 0.855, 0.891)
I (0.750, 0.145, 0.109)
I (0.250, 0.357, 0.861)
I (0.750, 0.643, 0.139)

---

(10)
Crystalline CuAs5 at its relaxed geometry, computed with PBE.

Summary:
Calculated formation energy, eV per atom: 0.282
Magnetic moment, μB/atom: 0.00
Space-group type: P-62m

Cell lengths 6.309, 6.309, 3.382 Å; angles 90.00, 90.00, 120.00 degrees
Sites, in units of the cell vectors:
Cu (0.000, 0.000, 0.500)
As (0.684, 0.000, 0.000)
As (0.316, 0.316, 0.000)
As (0.000, 0.684, 0.000)
As (0.667, 0.333, 0.500)
As (0.333, 0.667, 0.500)

---

(11)
Crystalline MnBeOs4 at its relaxed geometry, computed with PBE.

Summary:
Calculated formation energy, eV per atom: 0.774
Magnetic moment, μB/atom: 0.47
Space-group type: F-43m

Cell lengths 5.100, 5.100, 5.100 Å; angles 60.00, 60.00, 60.00 degrees
Sites, in units of the cell vectors:
Mn (0.000, 0.000, 0.000)
Be (0.750, 0.750, 0.750)
Os (0.875, 0.375, 0.375)
Os (0.375, 0.375, 0.875)
Os (0.375, 0.875, 0.375)
Os (0.375, 0.375, 0.375)

---

(12)
Crystalline Sr2Zn2In at its relaxed geometry, computed with PBE.

Summary:
Calculated formation energy, eV per atom: -0.134
Magnetic moment, μB/atom: 0.00
Space-group type: I4/mmm

Cell lengths 6.213, 6.213, 5.976 Å; angles 58.68, 58.68, 90.00 degrees
Sites, in units of the cell vectors:
Sr (0.750, 0.250, 0.500)
Sr (0.250, 0.750, 0.500)
Zn (0.352, 0.352, 0.297)
Zn (0.648, 0.648, 0.703)
In (0.000, 0.000, 0.000)

---

Q: Number 1 is which compound?
A: MoHN2